[1]
Compound: LiZn2Ru
Source: Alexandria via LeMat-Bulk
Functional: PBE-GGA
Structure: optimized geometry

Output
VASP energy   -3.51 eV/atom
Energy of formation   -0.073 eV/atom
D(E_F)   2.8 states/eV/cell
Symmetry   P4/mmm, No. 123

Lattice parameters (Å, degrees): 3.0826 3.0826 5.9229 90.00 90.00 90.00
Positions (direct):
Li 0.0000 0.0000 0.0000
Zn 0.5000 0.5000 0.2598
Zn 0.5000 0.5000 0.7402
Ru 0.0000 0.0000 0.5000


[2]
Compound: LiZn2Ru
Source: Alexandria via LeMat-Bulk
Functional: PBE-GGA
Structure: optimized geometry

Output
VASP energy   -3.63 eV/atom
Energy of formation   -0.192 eV/atom
D(E_F)   2.2 states/eV/cell
Symmetry   P4/mmm, No. 123

Lattice parameters (Å, degrees): 4.1949 4.1949 3.1003 90.00 90.00 90.00
Positions (direct):
Li 0.0000 0.0000 0.0000
Zn 0.0000 0.5000 0.5000
Zn 0.5000 0.0000 0.5000
Ru 0.5000 0.5000 0.0000


[3]
Compound: LiZn3Ru
Source: Alexandria via LeMat-Bulk
Functional: PBE-GGA
Structure: optimized geometry

Output
VASP energy   -3.00 eV/atom
Energy of formation   0.000 eV/atom
D(E_F)   8.1 states/eV/cell
Symmetry   C2/c, No. 15
Distance to the lowest polymorph of the same formula   0.0 meV per atom

Lattice parameters (Å, degrees): 6.5961 6.5961 8.4562 116.43 116.43 74.47
Positions (direct):
Li 0.0556 0.6697 0.7017
Li 0.3303 0.9444 0.7983
Li 0.6697 0.0556 0.2017
Li 0.9444 0.3303 0.2983
Zn 0.1296 0.1690 0.5680
Zn 0.1615 0.4123 0.9221
Zn 0.1690 0.1296 0.0680
Zn 0.2646 0.6017 0.4603
Zn 0.3983 0.7354 0.0397
Zn 0.4123 0.1615 0.4221
Zn 0.5877 0.8385 0.5779
Zn 0.6017 0.2646 0.9603
Zn 0.7354 0.3983 0.5397
Zn 0.8310 0.8704 0.9320
Zn 0.8385 0.5877 0.0779
Zn 0.8704 0.8310 0.4320
Ru 0.1642 0.8358 0.2500
Ru 0.4969 0.5031 0.2500
Ru 0.5031 0.4969 0.7500
Ru 0.8358 0.1642 0.7500


[4]
Compound: Li7Zn3Ru
Source: Alexandria via LeMat-Bulk
Functional: PBE-GGA
Structure: optimized geometry

Output
VASP energy   -2.36 eV/atom
Energy of formation   0.045 eV/atom
D(E_F)   4.0 states/eV/cell
Symmetry   P3m1, No. 156

Lattice parameters (Å, degrees): 5.6609 5.6609 6.5375 90.00 90.00 120.00
Positions (direct):
Li 0.0000 0.0000 0.0000
Li 0.1704 0.3408 0.6415
Li 0.1704 0.8296 0.6415
Li 0.5058 0.0117 0.9890
Li 0.5058 0.4942 0.9890
Li 0.6592 0.8296 0.6415
Li 0.9883 0.4942 0.9890
Zn 0.3410 0.1705 0.3318
Zn 0.8295 0.1705 0.3318
Zn 0.8295 0.6590 0.3318
Ru 0.6667 0.3333 0.6386